# 1
A plane-wave DFT calculation with GGA-PBEsol was carried out for a relaxed LiVSi2O6 crystal.

Output
uncorrected formation energy	-2577	meV/atom
total magnetization	0.200	μB per atom
symmetry	P2_1/c (14)

abc: 5.1788 8.5987 9.3201
angles: 90.00 102.54 90.00
Each line ends with the local moment (μB).
Atoms (fractional coordinates):
O 0.9893 0.2223 0.8897  0.00
O 0.2567 0.6626 0.6285  -0.01
O 0.7394 0.0039 0.3722  0.01
O 0.1944 0.8378 0.8691  -0.01
O 0.7606 0.5039 0.6278  0.01
O 0.7433 0.3374 0.3715  -0.01
O 0.1846 0.5132 0.8797  0.01
O 0.2606 0.9961 0.6278  0.01
O 0.8154 0.4868 0.1203  0.01
O 0.6846 0.9868 0.8797  0.01
O 0.4893 0.2777 0.8897  0.00
O 0.3771 0.7903 0.3919  0.00
O 0.2394 0.4961 0.3722  0.01
O 0.8056 0.1621 0.1309  -0.01
O 0.1229 0.2903 0.6081  0.00
O 0.6944 0.6622 0.8691  -0.01
O 0.7567 0.8374 0.6285  -0.01
O 0.2433 0.1626 0.3715  -0.01
O 0.0107 0.7777 0.1103  0.00
O 0.8771 0.7097 0.3919  0.00
O 0.3154 0.0132 0.1203  0.01
O 0.3056 0.3378 0.1309  -0.01
O 0.6229 0.2097 0.6081  0.00
O 0.5107 0.7223 0.1103  0.00
Si 0.2661 0.8427 0.0503  0.01
Si 0.1886 0.6587 0.4465  0.01
Si 0.7339 0.1573 0.9497  0.01
Si 0.7661 0.6573 0.0503  0.01
Si 0.8114 0.3413 0.5535  0.01
Si 0.6886 0.8413 0.4465  0.01
Si 0.2339 0.3427 0.9497  0.01
Si 0.3114 0.1587 0.5535  0.01
Li 0.5245 0.5123 0.2531  0.00
Li 0.4755 0.4877 0.7469  0.00
Li 0.0245 0.9877 0.2531  0.00
Li 0.9755 0.0123 0.7469  0.00
V 0.4749 0.8387 0.7497  1.80
V 0.9749 0.6613 0.7497  1.80
V 0.0251 0.3387 0.2503  1.80
V 0.5251 0.1613 0.2503  1.80

---

# 2
A plane-wave DFT calculation with GGA-PBEsol was carried out for a relaxed Ba3Br2O2 crystal.

Output
uncorrected formation energy	-2382	meV/atom
total magnetization	0.000	μB per atom
symmetry	Pnma (62)

abc: 6.2768 10.7110 12.8506
angles: 90.00 90.00 90.00
Atoms (fractional coordinates):
Ba 0.7500 0.3016 0.9602
Ba 0.2500 0.8016 0.5398
Ba 0.7500 0.6514 0.7062
Ba 0.7500 0.9454 0.9192
Ba 0.2500 0.1514 0.7938
Ba 0.7500 0.1984 0.4602
Ba 0.2500 0.0546 0.0808
Ba 0.7500 0.5546 0.4192
Ba 0.2500 0.3486 0.2938
Ba 0.2500 0.6984 0.0398
Ba 0.7500 0.8486 0.2062
Ba 0.2500 0.4454 0.5808
Br 0.7500 0.5427 0.1376
Br 0.2500 0.4573 0.8624
Br 0.7500 0.1700 0.2007
Br 0.2500 0.0427 0.3624
Br 0.2500 0.8300 0.7993
Br 0.7500 0.3300 0.7007
Br 0.2500 0.6700 0.2993
Br 0.7500 0.9573 0.6376
O 0.4988 0.1323 0.9330
O 0.5012 0.6323 0.5670
O 0.5012 0.8677 0.0670
O 0.9988 0.8677 0.0670
O 0.4988 0.3677 0.4330
O 0.0012 0.3677 0.4330
O 0.0012 0.1323 0.9330
O 0.9988 0.6323 0.5670